The following is a DFT calculation (PBE-GGA) of a geometry-optimized Tm2HgPt structure.

The structure in POSCAR format:
```
Tm2HgPt
1.0
4.028 0.000 0.000
2.014 3.488 0.000
2.014 1.163 7.385
Hg Pt Tm
1 1 2
Direct
0.500 0.500 0.500
0.000 0.000 0.000
0.736 0.736 0.792
0.264 0.264 0.208
```

Output
- Formation energy from the elements: -3.2 eV per formula unit
- Polymorph energy (0 for the lowest one): 0.085 eV per atom
- SG: R-3m
- Total magnetic moment: 0.00 μB per formula unit